[1]
# Tm2NpGe2Rh5, optimized geometry, DFT PBE
data_Tm2NpGe2Rh5
_cell_length_a 9.7662
_cell_length_b 9.7662
_cell_length_c 3.7196
_cell_angle_alpha 90.00
_cell_angle_beta 90.00
_cell_angle_gamma 90.00
_space_group_name_H-M_alt 'P 4/m b m'
_space_group_IT_number 127
_space_group_name_Hall '-P 4 2ab'
loop_
_atom_site_label
_atom_site_fract_x
_atom_site_fract_y
_atom_site_fract_z
_atom_site_occupancy
Tm1 0.1705 0.3295 0.0000 1
Np1 0.0000 0.0000 0.0000 1
Ge1 0.1261 0.6261 0.0000 1
Rh1 0.0000 0.5000 0.5000 1
Rh2 0.0684 0.7907 0.5000 1
# Electronic total energy: -75.31 eV per formula unit
# DOS(E_F): 18.0 states/eV/cell
# Energy relative to the elements: -744 meV per atom
# Spin magnetization: 6.03 Bohr magnetons per cell
# Volume: 17.74 Å³ per atom

***

[2]
# Pu2Tl2Cl7, optimized geometry, DFT PBE
data_Pu2Tl2Cl7
_cell_length_a 4.2286
_cell_length_b 16.5670
_cell_length_c 9.0355
_cell_angle_alpha 90.00
_cell_angle_beta 90.00
_cell_angle_gamma 90.00
_space_group_name_H-M_alt 'I m m 2'
_space_group_IT_number 44
_space_group_name_Hall 'I 2 -2'
loop_
_atom_site_label
_atom_site_fract_x
_atom_site_fract_y
_atom_site_fract_z
_atom_site_occupancy
Pu1 0.0000 0.0000 0.0000 1
Pu2 0.0000 0.5000 0.0554 1
Tl1 0.0000 0.2398 0.2620 1
Cl1 0.0000 0.0000 0.3351 1
Cl2 0.0000 0.0930 0.7311 1
Cl3 0.0000 0.3380 0.9575 1
Cl4 0.0000 0.3903 0.5449 1
# ΔE_f (raw): -1569 meV/atom
# Electronic total energy: -63.59 eV per formula unit
# DOS(E_F): 49.5 states/eV/cell
# Spin magnetization: 22.00 Bohr magnetons per cell
# Volume: 28.77 Å³ per atom
# Excess energy over the best structure of this formula in the dataset: 27 meV/atom

***

Q: Which value of electronic total energy does entry 2 give?
A: -63.59 eV per formula unit

***

Q: Among the records above, which one has the lowest electronic total energy?
A: Tm2NpGe2Rh5

***

Q: Which of these has the lowest volume?
A: Tm2NpGe2Rh5

***

Q: What is the electronic total energy in the second record?
A: -63.59 eV per formula unit